Here is a crystal of TcNi3Sb relaxed with PBEsol from Alexandria via LeMat-Bulk. Energies are from meta-GGA SCAN.

The structure in POSCAR format:
```
TcNi3Sb
1.0
-1.376 0.627 -4.232
-1.249 -4.311 -0.232
-4.092 1.105 1.494
Sb Tc Ni
1 1 3
Direct
0.000 0.000 0.000 Sb
0.500 0.500 0.500 Tc
0.000 0.500 0.000 Ni
0.000 0.000 0.500 Ni
0.500 0.000 0.000 Ni
```

Properties
- Formation energy from raw total energies: 1.337 eV/atom
- Energy: -22.8316 eV per atom
- Total magnetization: 0.861 μB/atom
- ρ: 7.24 Mg/m³

=====

Here is a crystal of Rb3CrPt relaxed with PBEsol from Alexandria via LeMat-Bulk. Energies are from meta-GGA SCAN.

The structure in POSCAR format:
```
Rb3CrPt
1.0
6.256 0.000 0.000
0.000 6.256 0.000
0.000 0.000 6.256
Cr Rb Pt
1 3 1
Direct
0.000 0.000 0.000 Cr
0.000 0.500 0.000 Rb
0.000 0.000 0.500 Rb
0.500 0.000 0.000 Rb
0.500 0.500 0.500 Pt
```

Properties
- Formation energy: 0.97 eV per atom
- Energy: -29.1848 eV per atom
- Total magnetization: 1.050 μB/atom
- ρ: 3.42 Mg/m³

=====

Here is a crystal of AlRuBr2 relaxed with PBEsol from Alexandria via LeMat-Bulk. Energies are from meta-GGA SCAN.

The structure in POSCAR format:
```
AlRuBr2
1.0
3.563 0.000 0.000
1.782 3.086 0.000
1.782 1.029 8.538
Ru Al Br
1 1 2
Direct
0.000 0.000 0.000 Ru
0.500 0.500 0.500 Al
0.279 0.279 0.164 Br
0.721 0.721 0.836 Br
```

Properties
- Formation energy from raw total energies: 0.332 eV/atom
- Energy: -20.0421 eV per atom
- Energy relative to the lowest polymorph listed for this composition: 1.936 eV/f.u.
- Total magnetization: 0.000 μB/atom
- ρ: 5.09 Mg/m³